[1]
Here is a relaxed structure of CoSiPt from OQMD. Energies are from PBE.

Computed properties:
As for the total energy: -6.736 eV per atom. The calculation puts the total magnetization at 0.019 μB per cell. Its crystal system is cubic.

abc: 3.902 3.902 3.902
angles: 60.00 60.00 60.00
Fractional coordinates of all 3 atoms:
Co 0.250 0.250 0.250
Pt 0.750 0.750 0.750
Si 0.000 0.000 0.000

=====

[2]
Here is a relaxed structure of CoSi2Pt from OQMD. Energies are from PBE.

Computed properties:
As for the total energy: -5.923 eV per atom. The calculation puts the total magnetization at 0.016 μB per cell. Its crystal system is cubic.

abc: 4.240 4.240 4.240
angles: 60.00 60.00 60.00
Fractional coordinates of all 4 atoms:
Co 0.250 0.250 0.250
Pt 0.500 0.500 0.500
Si 0.000 0.000 0.000
Si 0.750 0.750 0.750

=====

[3]
Here is a relaxed structure of TaCoSiPt from OQMD. Energies are from PBE.

Computed properties:
The value obtained for the relative energy among the computed polymorphs is 0.029 eV/atom. The calculation puts the total magnetization at 0.234 μB per cell. Its crystal system is cubic.

abc: 4.340 4.340 4.340
angles: 60.00 60.00 60.00
Each line ends with the local moment (μB).
Fractional coordinates of all 4 atoms:
Co 0.750 0.750 0.750  -0.27
Pt 0.250 0.250 0.250  -0.01
Si 0.000 0.000 0.000  -0.01
Ta 0.500 0.500 0.500  0.01

=====

[4]
Here is a relaxed structure of TaCoSiPt from OQMD. Energies are from PBE.

Computed properties:
The value obtained for the relative energy among the computed polymorphs is 0.000 eV/atom. The calculation puts the total magnetization at 0.428 μB per cell. Its crystal system is cubic.

abc: 4.332 4.332 4.332
angles: 60.00 60.00 60.00
Each line ends with the local moment (μB).
Fractional coordinates of all 4 atoms:
Co 0.750 0.750 0.750  0.58
Pt 0.500 0.500 0.500  -0.04
Si 0.000 0.000 0.000  -0.01
Ta 0.250 0.250 0.250  -0.04

=====

[5]
Here is a relaxed structure of CoSiTcPt from OQMD. Energies are from PBE.

Computed properties:
The value obtained for the relative energy among the computed polymorphs is 0.000 eV/atom. The calculation puts the total magnetization at 1.197 μB per cell. Its crystal system is cubic.

abc: 4.235 4.235 4.235
angles: 60.00 60.00 60.00
Each line ends with the local moment (μB).
Fractional coordinates of all 4 atoms:
Co 0.750 0.750 0.750  0.94
Pt 0.500 0.500 0.500  0.08
Si 0.000 0.000 0.000  -0.01
Tc 0.250 0.250 0.250  0.22

=====

[6]
Here is a relaxed structure of CoSiPtW from OQMD. Energies are from PBE.

Computed properties:
The value obtained for the relative energy among the computed polymorphs is 0.000 eV/atom. The calculation puts the total magnetization at 0.002 μB per cell. Its crystal system is cubic.

abc: 4.277 4.277 4.277
angles: 60.00 60.00 60.00
Fractional coordinates of all 4 atoms:
Co 0.750 0.750 0.750
Pt 0.500 0.500 0.500
Si 0.000 0.000 0.000
W 0.250 0.250 0.250

=====

[7]
Here is a relaxed structure of CoSiPtW from OQMD. Energies are from PBE.

Computed properties:
The value obtained for the relative energy among the computed polymorphs is 0.212 eV/atom. The calculation puts the total magnetization at 0.070 μB per cell. Its crystal system is cubic.

abc: 4.296 4.296 4.296
angles: 60.00 60.00 60.00
Each line ends with the local moment (μB).
Fractional coordinates of all 4 atoms:
Co 0.750 0.750 0.750  -0.13
Pt 0.250 0.250 0.250  0.02
Si 0.000 0.000 0.000  0.00
W 0.500 0.500 0.500  0.03

=====

[8]
Here is a relaxed structure of CoSn4Pt from OQMD. Energies are from PBE.

Computed properties:
As for the total energy: -5.127 eV per atom. The calculation puts the total magnetization at 0.002 μB per cell. Its crystal system is tetragonal.

abc: 4.492 4.492 6.446
angles: 90.00 90.00 90.00
Fractional coordinates of all 6 atoms:
Co 0.000 0.000 0.500
Pt 0.500 0.500 0.000
Sn 0.500 0.000 0.262
Sn 0.000 0.500 0.262
Sn 0.500 0.000 0.738
Sn 0.000 0.500 0.738

=====

[9]
Here is a relaxed structure of TaCoSnPt from OQMD. Energies are from PBE.

Computed properties:
The value obtained for the relative energy among the computed polymorphs is 0.000 eV/atom. The calculation puts the total magnetization at 0.528 μB per cell. Its crystal system is cubic.

abc: 4.525 4.525 4.525
angles: 60.00 60.00 60.00
Each line ends with the local moment (μB).
Fractional coordinates of all 4 atoms:
Co 0.750 0.750 0.750  0.67
Pt 0.250 0.250 0.250  -0.02
Sn 0.000 0.000 0.000  0.00
Ta 0.500 0.500 0.500  -0.08

=====

[10]
Here is a relaxed structure of TaCoSnPt from OQMD. Energies are from PBE.

Computed properties:
The value obtained for the relative energy among the computed polymorphs is 0.105 eV/atom. The calculation puts the total magnetization at 0.460 μB per cell. Its crystal system is cubic.

abc: 4.515 4.515 4.515
angles: 60.00 60.00 60.00
Each line ends with the local moment (μB).
Fractional coordinates of all 4 atoms:
Co 0.750 0.750 0.750  0.67
Pt 0.500 0.500 0.500  -0.05
Sn 0.000 0.000 0.000  -0.02
Ta 0.250 0.250 0.250  -0.07

=====

[11]
Here is a relaxed structure of CoTcSnPt from OQMD. Energies are from PBE.

Computed properties:
The value obtained for the relative energy among the computed polymorphs is 0.000 eV/atom. The calculation puts the total magnetization at 1.531 μB per cell. Its crystal system is cubic.

abc: 4.428 4.428 4.428
angles: 60.00 60.00 60.00
Each line ends with the local moment (μB).
Fractional coordinates of all 4 atoms:
Co 0.750 0.750 0.750  1.10
Pt 0.500 0.500 0.500  0.11
Sn 0.000 0.000 0.000  -0.02
Tc 0.250 0.250 0.250  0.38

=====

[12]
Here is a relaxed structure of Tm3CoSn3Pt2 from OQMD. Energies are from PBE.

Computed properties:
As for the total energy: -5.908 eV per atom. The calculation puts the total magnetization at 0.002 μB per cell. Its crystal system is hexagonal.

abc: 7.584 7.584 3.705
angles: 90.00 90.00 120.00
Fractional coordinates of all 9 atoms:
Co 0.000 0.000 0.000
Pt 0.667 0.333 0.500
Pt 0.333 0.667 0.500
Sn 0.749 0.000 0.500
Sn 0.251 0.251 0.500
Sn 0.000 0.749 0.500
Tm 0.403 0.000 0.000
Tm 0.000 0.403 0.000
Tm 0.597 0.597 0.000

=====

[13]
Here is a relaxed structure of CoSnPtW from OQMD. Energies are from PBE.

Computed properties:
The value obtained for the relative energy among the computed polymorphs is 0.041 eV/atom. The calculation puts the total magnetization at 0.165 μB per cell. Its crystal system is cubic.

abc: 4.476 4.476 4.476
angles: 60.00 60.00 60.00
Each line ends with the local moment (μB).
Fractional coordinates of all 4 atoms:
Co 0.750 0.750 0.750  0.48
Pt 0.250 0.250 0.250  -0.08
Sn 0.000 0.000 0.000  0.00
W 0.500 0.500 0.500  -0.19

=====

[14]
Here is a relaxed structure of CoSnPtW from OQMD. Energies are from PBE.

Computed properties:
The value obtained for the relative energy among the computed polymorphs is 0.000 eV/atom. The calculation puts the total magnetization at 0.038 μB per cell. Its crystal system is cubic.

abc: 4.460 4.460 4.460
angles: 60.00 60.00 60.00
Fractional coordinates of all 4 atoms:
Co 0.750 0.750 0.750
Pt 0.500 0.500 0.500
Sn 0.000 0.000 0.000
W 0.250 0.250 0.250

=====

[15]
Here is a relaxed structure of TaZnCoPt from OQMD. Energies are from PBE.

Computed properties:
The value obtained for the relative energy among the computed polymorphs is 0.000 eV/atom. The calculation puts the total magnetization at 0.110 μB per cell. Its crystal system is cubic. The value obtained for the energy relative to the elements is -1.28 eV per formula unit.

abc: 4.357 4.357 4.357
angles: 60.00 60.00 60.00
Each line ends with the local moment (μB).
Fractional coordinates of all 4 atoms:
Co 0.750 0.750 0.750  0.13
Pt 0.250 0.250 0.250  0.01
Ta 0.500 0.500 0.500  0.00
Zn 0.000 0.000 0.000  0.00